Entry 1:
Li2PuBiO6 | PBE-GGA | optimized geometry

Computed properties:
For the uncorrected formation energy, the calculation gives -1.99 eV/atom. Its theoretical density is 6.99 g/cm3. Its space group is No. 148. The total energy is -71.74 eV for the cell shown. The total moment comes out at 0.999 μB/f.u.

Structure (POSCAR):
```
Li2PuBiO6
1.0
2.6986 1.5580 5.3025
-2.6986 1.5580 5.3025
0.0000 -3.1161 5.3025
Li Pu Bi O
2 1 1 6
Cartesian
0.0000 0.0000 3.1824 Li
0.0000 0.0000 12.7251 Li
0.0000 0.0000 7.9538 Pu
0.0000 0.0000 0.0000 Bi
-0.7669 -1.4957 6.8299 O
-1.6788 -0.0837 9.0776 O
-0.9119 1.4120 6.8299 O
0.9119 -1.4120 9.0776 O
1.6788 0.0837 6.8299 O
0.7669 1.4957 9.0776 O
```

Entry 2:
DyTiOs | PBE-GGA | optimized geometry

Computed properties:
Its theoretical density is 11.03 g/cm3. As for the energy of formation: -327 meV per atom. Its space group is No. 11. The total energy is -148.24 eV for the cell shown. The total moment comes out at 0.000 μB/f.u.

Structure (POSCAR):
```
DyTiOs
1.0
6.8559 0.0000 0.0000
0.0000 4.2782 0.0000
-0.1870 0.0000 12.3391
Dy Ti Os
6 6 6
Cartesian
-0.0106 1.0696 2.5489 Dy
2.3991 1.0696 5.1365 Dy
3.3166 1.0696 1.5332 Dy
3.3523 3.2087 10.8059 Dy
4.2698 3.2087 7.2026 Dy
6.6795 3.2087 9.7901 Dy
0.0963 3.2087 5.0993 Ti
0.9884 3.2087 0.4854 Ti
2.1898 1.0696 8.7061 Ti
4.4791 3.2087 3.6329 Ti
5.6806 1.0696 11.8537 Ti
6.5727 1.0696 7.2398 Ti
1.2637 3.2087 7.3746 Os
1.3081 1.0696 11.4374 Os
1.9865 3.2087 3.1330 Os
4.6824 1.0696 9.2061 Os
5.3608 3.2087 0.9017 Os
5.4052 1.0696 4.9645 Os
```

Entry 3:
AgAsOs4 | PBE-GGA | optimized geometry

Computed properties:
Its theoretical density is 15.59 g/cm3. As for the energy of formation: 986 meV per atom. Its space group is No. 216. The total energy is -46.50 eV for the cell shown. The total moment comes out at 0.013 μB/f.u.

Structure (POSCAR):
```
AgAsOs4
1.0
0.0000 3.6907 3.6907
3.6907 0.0000 3.6907
3.6907 3.6907 0.0000
Ag As Os
1 1 4
Cartesian
0.0000 0.0000 0.0000 Ag
5.5361 5.5361 5.5361 As
2.7691 2.7691 2.7691 Os
4.6124 4.6124 2.7691 Os
4.6124 2.7691 4.6124 Os
2.7691 4.6124 4.6124 Os
```

Entry 4:
EuSe2O8 | PBE-GGA | optimized geometry

Computed properties:
For the uncorrected formation energy, the calculation gives -1.00 eV/atom. Its theoretical density is 4.12 g/cm3. Its space group is No. 61. The total energy is -543.04 eV for the cell shown. The total moment comes out at 4.963 μB/f.u.

Structure (POSCAR):
```
EuSe2O8
1.0
9.6272 0.0000 0.0000
0.0000 14.4791 0.0000
0.0000 0.0000 10.1228
Eu Se O
8 16 64
Cartesian
2.1109 1.5082 0.3276 Eu
2.1109 5.7314 5.3890 Eu
2.7027 8.7477 0.3276 Eu
2.7027 12.9710 5.3890 Eu
6.9246 1.5082 4.7338 Eu
6.9246 5.7314 9.7952 Eu
7.5163 8.7477 4.7338 Eu
7.5163 12.9710 9.7952 Eu
0.0318 0.8248 7.3237 Se
0.0318 6.4148 2.2623 Se
1.7329 9.4813 3.9951 Se
1.7329 12.2373 9.0565 Se
3.0807 2.2418 3.9951 Se
3.0807 4.9978 9.0565 Se
4.7818 8.0643 7.3237 Se
4.7818 13.6544 2.2623 Se
4.8455 0.8248 7.8605 Se
4.8455 6.4148 2.7991 Se
6.5466 9.4813 1.0663 Se
6.5466 12.2373 6.1277 Se
7.8943 2.2418 1.0663 Se
7.8943 4.9978 6.1277 Se
9.5954 8.0643 7.8605 Se
9.5954 13.6544 2.7991 Se
0.0863 9.6053 4.2388 O
0.0863 12.1134 9.3002 O
0.7833 9.0332 8.9451 O
0.7833 12.6854 3.8837 O
0.7872 7.6457 1.4256 O
0.7872 14.0729 6.4870 O
1.0449 7.3768 6.7799 O
1.0449 14.3419 1.7185 O
1.0961 1.7654 8.1988 O
1.0961 5.4741 3.1374 O
2.1273 9.8764 2.4151 O
2.1273 11.8423 7.4766 O
2.2737 7.9332 4.2957 O
2.2737 13.7855 9.3571 O
2.3122 3.3177 5.0061 O
2.3122 3.9218 10.0675 O
2.5014 10.5573 5.0061 O
2.5014 11.1614 10.0675 O
2.5399 0.6936 4.2957 O
2.5399 6.5460 9.3571 O
2.6863 2.6368 2.4151 O
2.6863 4.6028 7.4766 O
3.7175 9.0050 8.1988 O
3.7175 12.7137 3.1374 O
3.7687 0.1372 6.7799 O
3.7687 7.1023 1.7185 O
4.0264 0.4062 1.4256 O
4.0264 6.8334 6.4870 O
4.0303 1.7937 8.9451 O
4.0303 5.4459 3.8837 O
4.7274 2.3657 4.2388 O
4.7274 4.8738 9.3002 O
4.8999 9.6053 0.8226 O
4.8999 12.1134 5.8840 O
5.5969 9.0332 6.2391 O
5.5969 12.6854 1.1777 O
5.6009 7.6457 3.6359 O
5.6009 14.0729 8.6973 O
5.8586 7.3768 8.4043 O
5.8586 14.3419 3.3429 O
5.9097 1.7654 6.9855 O
5.9097 5.4741 1.9241 O
6.9409 9.8764 2.6463 O
6.9409 11.8423 7.7077 O
7.0874 7.9332 0.7657 O
7.0874 13.7855 5.8271 O
7.1258 3.3177 0.0553 O
7.1258 3.9218 5.1168 O
7.3151 10.5573 0.0553 O
7.3151 11.1614 5.1168 O
7.3535 0.6936 0.7657 O
7.3535 6.5460 5.8271 O
7.5000 2.6368 2.6463 O
7.5000 4.6028 7.7077 O
8.5312 9.0050 6.9855 O
8.5312 12.7137 1.9241 O
8.5823 0.1372 8.4043 O
8.5823 7.1023 3.3429 O
8.8400 0.4062 3.6359 O
8.8400 6.8334 8.6973 O
8.8439 1.7937 6.2391 O
8.8439 5.4459 1.1777 O
9.5410 2.3657 0.8226 O
9.5410 4.8738 5.8840 O
```

Entry 5:
Mg3PS | PBE-GGA | optimized geometry

Computed properties:
For the uncorrected formation energy, the calculation gives -0.27 eV/atom. Its theoretical density is 1.98 g/cm3. Its space group is No. 221. The total energy is -15.65 eV for the cell shown. The energy above the most stable polymorph in this dataset comes out at 0.000 eV per atom. The total moment comes out at 0.000 μB/f.u.

Structure (POSCAR):
```
Mg3PS
1.0
4.8489 0.0000 0.0000
0.0000 4.8489 0.0000
0.0000 0.0000 4.8489
Mg P S
3 1 1
Cartesian
0.0000 0.0000 2.4244 Mg
0.0000 2.4244 0.0000 Mg
2.4244 0.0000 0.0000 Mg
0.0000 0.0000 0.0000 P
2.4244 2.4244 2.4244 S
```

Entry 6:
Pr2Pd3Au | PBE-GGA | optimized geometry

Computed properties:
Its theoretical density is 9.65 g/cm3. As for the energy of formation: -711 meV per atom. Its space group is No. 69. The total energy is -65.36 eV for the cell shown. The energy above the most stable polymorph in this dataset comes out at 0.000 eV per atom. The total moment comes out at 0.000 μB/f.u.

Structure (POSCAR):
```
Pr2Pd3Au
1.0
0.0000 4.7339 7.7716
3.7324 0.0000 7.7716
3.7324 4.7339 0.0000
Pr Pd Au
4 6 2
Cartesian
5.6104 4.7339 7.7716 Pr
1.8662 2.3669 3.8858 Pr
5.5986 7.1008 11.6574 Pr
1.8544 4.7339 7.7716 Pr
3.7324 4.7339 2.4931 Pd
3.7324 2.3698 6.4468 Pd
3.7324 2.3698 9.0964 Pd
3.7324 7.0979 6.4468 Pd
3.7324 7.0979 9.0964 Pd
3.7324 4.7339 13.0502 Pd
3.7324 4.7339 5.1707 Au
3.7324 4.7339 10.3725 Au
```

Entry 7:
CaAlCu2 | PBE-GGA | optimized geometry

Computed properties:
Its theoretical density is 4.58 g/cm3. As for the energy of formation: -65 meV per atom. Its space group is No. 99. The total energy is -14.20 eV for the cell shown. The total moment comes out at 0.000 μB/f.u.

Structure (POSCAR):
```
CaAlCu2
1.0
3.1418 0.0000 0.0000
0.0000 3.1418 0.0000
0.0000 0.0000 7.1235
Ca Al Cu
1 1 2
Cartesian
0.0000 0.0000 0.0000 Ca
1.5709 1.5709 4.7217 Al
0.0000 0.0000 3.3394 Cu
1.5709 1.5709 2.0938 Cu
```

Entry 8:
Tb2HgAu | PBE-GGA | optimized geometry

Computed properties:
Its theoretical density is 11.96 g/cm3. As for the energy of formation: -667 meV per atom. Its space group is No. 123. The total energy is -15.51 eV for the cell shown. The total moment comes out at 0.000 μB/f.u.

Structure (POSCAR):
```
Tb2HgAu
1.0
3.6814 0.0000 0.0000
0.0000 3.6814 0.0000
0.0000 0.0000 7.3275
Tb Hg Au
2 1 1
Cartesian
0.0000 0.0000 1.7509 Tb
0.0000 0.0000 5.5766 Tb
1.8407 1.8407 3.6637 Hg
1.8407 1.8407 0.0000 Au
```

Entry 9:
Y2ZrTe | PBE-GGA | optimized geometry

Computed properties:
For the uncorrected formation energy, the calculation gives -0.37 eV/atom. Its theoretical density is 6.18 g/cm3. Its space group is No. 65. The total energy is -26.08 eV for the cell shown. The total moment comes out at 0.002 μB/f.u.

Structure (POSCAR):
```
Y2ZrTe
1.0
3.3320 -4.4334 0.0000
3.3320 4.4334 0.0000
0.0000 0.0000 3.6080
Y Zr Te
2 1 1
Cartesian
1.6660 2.2167 0.0000 Y
1.6660 -2.2167 0.0000 Y
0.0000 0.0000 1.8040 Zr
3.3320 0.0000 1.8040 Te
```

Entry 10:
NaYAs2Br | PBE-GGA | optimized geometry

Computed properties:
For the uncorrected formation energy, the calculation gives -0.44 eV/atom. Its theoretical density is 3.28 g/cm3. Its space group is No. 123. The total energy is -20.93 eV for the cell shown. The energy above the most stable polymorph in this dataset comes out at 0.000 eV per atom. The total moment comes out at 0.938 μB/f.u.

Structure (POSCAR):
```
NaYAs2Br
1.0
5.5006 0.0000 0.0000
0.0000 5.5006 0.0000
0.0000 0.0000 5.7169
Na Y As Br
1 1 2 1
Cartesian
0.0000 0.0000 0.0000 Na
2.7503 2.7503 2.8585 Y
0.0000 2.7503 2.8585 As
2.7503 0.0000 2.8585 As
2.7503 2.7503 0.0000 Br
```

Entry 11:
MnPOs2 | PBE-GGA | optimized geometry

Computed properties:
Its theoretical density is 14.24 g/cm3. As for the energy of formation: 134 meV per atom. Its space group is No. 12. The total energy is -36.50 eV for the cell shown. The total moment comes out at 2.867 μB/f.u.

Structure (POSCAR):
```
MnPOs2
1.0
4.0407 -1.4209 0.0000
4.0407 1.4209 0.0000
-0.7212 0.0000 4.7348
Mn P Os
1 1 2
Cartesian
0.0000 0.0000 0.0000 Mn
3.6801 0.0000 2.3674 P
1.5381 0.0000 3.5366 Os
5.8221 0.0000 1.1982 Os
```

Entry 12:
AgPdPb2 | PBE-GGA | optimized geometry

Computed properties:
Its theoretical density is 11.50 g/cm3. As for the energy of formation: -25 meV per atom. Its space group is No. 225. The total energy is -15.56 eV for the cell shown. The energy above the most stable polymorph in this dataset comes out at 0.026 eV per atom. The total moment comes out at 0.000 μB/f.u.

Structure (POSCAR):
```
AgPdPb2
1.0
0.0000 3.5673 3.5673
3.5673 0.0000 3.5673
3.5673 3.5673 0.0000
Ag Pd Pb
1 1 2
Cartesian
0.0000 0.0000 0.0000 Ag
3.5673 3.5673 3.5673 Pd
1.7836 1.7836 1.7836 Pb
5.3509 5.3509 5.3509 Pb
```